[1]
{
  "formula": "PmAs2Pd6",
  "functional": "PBE",
  "state": "optimized geometry",
  "dos_ef_per_ev_cell": 6.3,
  "sg": "P6/mmm",
  "polymorph_energy_mev_per_atom": 85,
  "cell": [[5.6290, 0.0000, 0.0000], [-2.8145, 4.8749, 0.0000], [0.0000, 0.0000, 6.5653]],
  "species": ["Pm", "As", "As", "Pd", "Pd", "Pd", "Pd", "Pd", "Pd"],
  "frac_coords": [[0.0000, 0.0000, 0.0000], [0.3333, 0.6667, 0.5000], [0.6667, 0.3333, 0.5000], [0.4998, 0.0000, 0.2109], [0.5002, 0.5002, 0.2109], [0.0000, 0.4998, 0.2109], [0.4998, 0.4998, 0.7891], [0.0000, 0.5002, 0.7891], [0.5002, 0.0000, 0.7891]]
}

=====

[2]
{
  "formula": "Pm2As3Pd5",
  "functional": "PBE",
  "state": "optimized geometry",
  "final_energy_ev_per_cell": -115.435,
  "dos_ef_per_ev_cell": 10.0,
  "sg": "Cmc2_1",
  "cell": [[4.3497, 0.0000, -0.7410], [0.0000, 7.0262, 0.0000], [-0.1447, 0.0000, 12.2881]],
  "species": ["Pm", "Pm", "Pm", "Pm", "As", "As", "As", "As", "As", "As", "Pd", "Pd", "Pd", "Pd", "Pd", "Pd", "Pd", "Pd", "Pd", "Pd"],
  "frac_coords": [[0.4791, 0.7686, 0.9581], [0.1737, 0.7454, 0.3475], [0.8263, 0.2454, 0.6525], [0.5209, 0.2686, 0.0419], [0.7742, 0.6787, 0.5485], [0.6071, 0.5745, 0.2142], [0.0491, 0.9688, 0.0983], [0.2258, 0.1787, 0.4515], [0.9509, 0.4688, 0.9017], [0.3929, 0.0745, 0.7858], [0.3934, 0.4532, 0.7868], [0.2734, 0.4904, 0.5469], [0.7266, 0.9904, 0.4531], [0.1241, 0.2302, 0.2482], [0.3032, 0.8822, 0.6064], [0.9456, 0.0727, 0.8911], [0.6968, 0.3822, 0.3936], [0.8759, 0.7302, 0.7518], [0.0544, 0.5727, 0.1089], [0.6066, 0.9532, 0.2132]]
}

=====

[3]
{
  "formula": "Pm2AsPd",
  "functional": "PBE",
  "state": "optimized geometry",
  "dos_ef_per_ev_cell": 2.9,
  "sg": "R-3m",
  "polymorph_energy_mev_per_atom": 0,
  "cell": [[4.1741, 0.0000, 0.0000], [2.0871, 3.6149, 0.0000], [2.0871, 1.2050, 7.0764]],
  "species": ["As", "Pd", "Pm", "Pm"],
  "frac_coords": [[0.5000, 0.5000, 0.5000], [0.0000, 0.0000, 0.0000], [0.2493, 0.2493, 0.2521], [0.7507, 0.7507, 0.7479]]
}

=====

[4]
{
  "formula": "PmAs4Pd6",
  "functional": "PBE",
  "state": "optimized geometry",
  "final_energy_ev_per_cell": -60.853,
  "dos_ef_per_ev_cell": 6.4,
  "sg": "P-6m2",
  "cell": [[-3.7822, 0.0900, -1.4654], [-1.2559, -6.7149, 2.8291], [-1.4181, 6.0343, 4.0307]],
  "species": ["Pm", "As", "As", "As", "As", "Pd", "Pd", "Pd", "Pd", "Pd", "Pd"],
  "frac_coords": [[0.0000, 0.0000, 0.0000], [0.5000, 0.8114, 0.6228], [0.5000, 0.3772, 0.1886], [0.5000, 0.8114, 0.1886], [0.0000, 0.3333, 0.6667], [0.0000, 0.5355, 0.0709], [0.5000, 0.6040, 0.8020], [0.0000, 0.5355, 0.4645], [0.0000, 0.9291, 0.4645], [0.5000, 0.1980, 0.8020], [0.5000, 0.1980, 0.3960]]
}

=====

[5]
{
  "formula": "PmAs2Pd7",
  "functional": "PBE",
  "state": "optimized geometry",
  "final_energy_ev_per_cell": -55.895,
  "dos_ef_per_ev_cell": 5.6,
  "sg": "I4/mmm",
  "cell": [[-1.3811, -1.6219, -3.5817], [3.4002, -2.3990, -0.2248], [-5.8382, -5.3189, 7.0840]],
  "species": ["Pm", "As", "As", "Pd", "Pd", "Pd", "Pd", "Pd", "Pd", "Pd"],
  "frac_coords": [[0.0000, 0.0000, 0.0000], [0.6752, 0.6752, 0.3505], [0.3248, 0.3248, 0.6495], [0.1055, 0.6055, 0.2111], [0.3945, 0.8945, 0.7889], [0.6055, 0.1055, 0.2111], [0.5000, 0.5000, 0.0000], [0.7500, 0.2500, 0.5000], [0.8945, 0.3945, 0.7889], [0.2500, 0.7500, 0.5000]]
}

=====

[6]
{
  "formula": "Pm3As2Pd5",
  "functional": "PBE",
  "state": "optimized geometry",
  "final_energy_ev_per_cell": -114.111,
  "dos_ef_per_ev_cell": 8.5,
  "sg": "Ibam",
  "cell": [[5.9852, 0.0000, 0.0000], [2.9926, 8.3622, -1.2377], [2.9926, 1.0257, 8.3908]],
  "species": ["Pm", "Pm", "Pm", "Pm", "Pm", "Pm", "As", "As", "As", "As", "Pd", "Pd", "Pd", "Pd", "Pd", "Pd", "Pd", "Pd", "Pd", "Pd"],
  "frac_coords": [[0.2500, 0.0000, 0.0000], [0.7500, 0.0000, 0.0000], [0.3830, 0.4183, 0.8158], [0.6170, 0.5817, 0.1842], [0.8830, 0.8158, 0.4183], [0.1170, 0.1842, 0.5817], [0.1367, 0.7094, 0.0172], [0.8633, 0.2906, 0.9828], [0.6367, 0.0172, 0.7094], [0.3633, 0.9828, 0.2906], [0.2500, 0.5000, 0.5000], [0.7500, 0.5000, 0.5000], [0.4969, 0.7531, 0.7531], [0.0031, 0.2469, 0.2469], [0.5031, 0.2469, 0.2469], [0.9969, 0.7531, 0.7531], [0.1327, 0.5135, 0.2211], [0.8673, 0.4865, 0.7789], [0.6327, 0.2211, 0.5135], [0.3673, 0.7789, 0.4865]]
}

=====

[7]
{
  "formula": "Pm5As12Pd3",
  "functional": "PBE",
  "state": "optimized geometry",
  "final_energy_ev_per_cell": -410.752,
  "dos_ef_per_ev_cell": 50.7,
  "sg": "Ia-3d",
  "cell": [[-0.2337, 13.2421, 5.3099], [-13.3626, -4.8169, -1.3567], [7.2601, -8.5382, 8.8313]],
  "species": ["Pd", "Pd", "Pd", "Pd", "Pd", "Pd", "Pd", "Pd", "Pd", "Pd", "Pd", "Pd", "Pm", "Pm", "Pm", "Pm", "Pm", "Pm", "Pm", "Pm", "Pm", "Pm", "Pm", "Pm", "Pm", "Pm", "Pm", "Pm", "Pm", "Pm", "Pm", "Pm", "As", "As", "As", "As", "As", "As", "As", "As", "As", "As", "As", "As", "As", "As", "As", "As", "As", "As", "As", "As", "As", "As", "As", "As", "As", "As", "As", "As", "As", "As", "As", "As", "As", "As", "As", "As", "As", "As", "As", "As", "As", "As", "As", "As", "As", "As", "As", "As"],
  "frac_coords": [[0.7500, 0.3750, 0.1250], [0.8750, 0.7500, 0.1250], [0.3750, 0.7500, 0.6250], [0.2500, 0.1250, 0.3750], [0.8750, 0.1250, 0.2500], [0.3750, 0.6250, 0.2500], [0.6250, 0.3750, 0.7500], [0.1250, 0.8750, 0.7500], [0.7500, 0.8750, 0.6250], [0.6250, 0.2500, 0.3750], [0.1250, 0.2500, 0.8750], [0.2500, 0.6250, 0.8750], [0.1250, 0.3750, 0.2500], [0.0000, 0.5000, 0.0000], [0.0000, 0.0000, 0.0000], [0.3750, 0.2500, 0.1250], [0.5000, 0.0000, 0.5000], [0.5000, 0.5000, 0.0000], [0.1250, 0.7500, 0.3750], [0.7500, 0.1250, 0.8750], [0.7500, 0.6250, 0.3750], [0.3750, 0.1250, 0.7500], [0.6250, 0.8750, 0.2500], [0.5000, 0.5000, 0.5000], [0.5000, 0.0000, 0.0000], [0.0000, 0.0000, 0.5000], [0.2500, 0.3750, 0.6250], [0.2500, 0.8750, 0.1250], [0.0000, 0.5000, 0.5000], [0.8750, 0.2500, 0.6250], [0.6250, 0.7500, 0.8750], [0.8750, 0.6250, 0.7500], [0.7487, 0.1029, 0.0681], [0.3195, 0.5681, 0.4652], [0.9319, 0.3971, 0.2513], [0.5681, 0.2487, 0.1029], [0.6457, 0.7487, 0.6805], [0.9319, 0.5348, 0.1805], [0.3195, 0.7513, 0.3543], [0.0348, 0.8543, 0.1029], [0.5348, 0.9319, 0.6805], [0.7487, 0.6457, 0.1805], [0.7513, 0.4319, 0.3971], [0.8195, 0.9652, 0.0681], [0.1029, 0.7487, 0.5681], [0.3971, 0.4652, 0.1457], [0.1457, 0.9652, 0.3971], [0.3543, 0.1029, 0.5348], [0.1457, 0.1805, 0.2487], [0.4319, 0.6805, 0.0348], [0.8195, 0.8543, 0.2513], [0.1029, 0.3543, 0.0348], [0.3971, 0.9319, 0.7513], [0.5348, 0.6029, 0.3543], [0.9652, 0.8195, 0.5681], [0.7513, 0.3195, 0.8543], [0.4652, 0.3971, 0.6457], [0.0348, 0.1805, 0.4319], [0.2487, 0.6805, 0.1457], [0.1805, 0.1457, 0.7487], [0.6029, 0.0681, 0.2487], [0.8971, 0.6457, 0.9652], [0.5681, 0.3195, 0.9652], [0.6457, 0.8971, 0.4652], [0.8543, 0.8195, 0.7513], [0.8543, 0.0348, 0.6029], [0.8971, 0.2513, 0.4319], [0.1805, 0.0348, 0.9319], [0.6029, 0.5348, 0.8543], [0.4652, 0.0681, 0.3195], [0.2513, 0.3543, 0.8195], [0.2487, 0.5681, 0.6029], [0.9652, 0.1457, 0.8971], [0.6805, 0.2487, 0.6457], [0.4319, 0.7513, 0.8971], [0.0681, 0.4652, 0.8195], [0.3543, 0.2513, 0.3195], [0.0681, 0.6029, 0.7487], [0.6805, 0.4319, 0.5348], [0.2513, 0.8971, 0.9319]]
}

=====

[8]
{
  "formula": "PmAs2Pd3",
  "functional": "PBE",
  "state": "optimized geometry",
  "dos_ef_per_ev_cell": 7.8,
  "sg": "C2/m",
  "polymorph_energy_mev_per_atom": 47,
  "cell": [[4.2744, 0.0000, 0.0000], [-2.1372, 7.8212, 0.0533], [0.0000, -3.5011, 6.6640]],
  "species": ["Pm", "Pm", "As", "As", "As", "As", "Pd", "Pd", "Pd", "Pd", "Pd", "Pd"],
  "frac_coords": [[0.8507, 0.7013, 0.9307], [0.1493, 0.2987, 0.0693], [0.4874, 0.9748, 0.8221], [0.5126, 0.0252, 0.1779], [0.8028, 0.6056, 0.2764], [0.1972, 0.3944, 0.7236], [0.3130, 0.6260, 0.5855], [0.9490, 0.8981, 0.6234], [0.6054, 0.2109, 0.6833], [0.3946, 0.7891, 0.3167], [0.0510, 0.1019, 0.3766], [0.6870, 0.3740, 0.4145]]
}

=====

[9]
{
  "formula": "PmAsPd5",
  "functional": "PBE",
  "state": "optimized geometry",
  "final_energy_ev_per_cell": -39.061,
  "dos_ef_per_ev_cell": 3.6,
  "sg": "P4/mmm",
  "cell": [[-3.7903, 0.9472, -1.3326], [-1.4690, -0.4964, 3.8256], [1.2867, 7.1495, 1.4218]],
  "species": ["Pm", "As", "Pd", "Pd", "Pd", "Pd", "Pd"],
  "frac_coords": [[0.0000, 0.0000, 0.0000], [0.0000, 0.0000, 0.5000], [0.5000, 0.0000, 0.7031], [0.0000, 0.5000, 0.7031], [0.5000, 0.5000, 0.0000], [0.0000, 0.5000, 0.2969], [0.5000, 0.0000, 0.2969]]
}

=====

[10]
{
  "formula": "PmAs2Pd3",
  "functional": "PBE",
  "state": "optimized geometry",
  "dos_ef_per_ev_cell": 8.3,
  "sg": "C2/m",
  "polymorph_energy_mev_per_atom": 0,
  "cell": [[4.1274, 0.0000, 0.0000], [-2.0637, 7.9841, -2.5866], [0.0000, 0.0195, 10.0951]],
  "species": ["Pm", "Pm", "Pm", "As", "As", "As", "As", "As", "As", "Pd", "Pd", "Pd", "Pd", "Pd", "Pd", "Pd", "Pd", "Pd"],
  "frac_coords": [[0.1527, 0.3055, 0.6992], [0.8473, 0.6945, 0.3008], [0.0000, 0.0000, 0.0000], [0.1996, 0.3991, 0.1312], [0.8004, 0.6009, 0.8688], [0.4617, 0.9233, 0.2114], [0.5383, 0.0767, 0.7886], [0.3637, 0.7274, 0.5461], [0.6363, 0.2726, 0.4539], [0.0426, 0.0852, 0.3327], [0.9574, 0.9148, 0.6673], [0.2213, 0.4426, 0.3906], [0.7787, 0.5574, 0.6094], [0.6241, 0.2482, 0.2010], [0.3759, 0.7518, 0.7990], [0.5000, 0.0000, 0.5000], [0.3204, 0.6407, 0.0334], [0.6796, 0.3593, 0.9666]]
}

=====

[11]
{
  "formula": "Pm3As5Pd6",
  "functional": "PBE",
  "state": "optimized geometry",
  "final_energy_ev_per_cell": -162.838,
  "dos_ef_per_ev_cell": 16.2,
  "sg": "Pmmn",
  "cell": [[4.1862, 0.0000, 0.0000], [0.0000, 10.0381, 0.0000], [0.0000, 0.0000, 12.8324]],
  "species": ["Pm", "Pm", "Pm", "Pm", "Pm", "Pm", "As", "As", "As", "As", "As", "As", "As", "As", "As", "As", "Pd", "Pd", "Pd", "Pd", "Pd", "Pd", "Pd", "Pd", "Pd", "Pd", "Pd", "Pd"],
  "frac_coords": [[0.0000, 0.2454, 0.6662], [0.5000, 0.7546, 0.1662], [0.5000, 0.7546, 0.8338], [0.0000, 0.2540, 0.0000], [0.5000, 0.7460, 0.5000], [0.0000, 0.2454, 0.3338], [0.0000, 0.5262, 0.8761], [0.0000, 0.8517, 0.6646], [0.0000, 0.8473, 0.0000], [0.5000, 0.4738, 0.6239], [0.5000, 0.1527, 0.5000], [0.0000, 0.5262, 0.1239], [0.5000, 0.4738, 0.3761], [0.0000, 0.8517, 0.3354], [0.5000, 0.1483, 0.8354], [0.5000, 0.1483, 0.1646], [0.0000, 0.9993, 0.8318], [0.5000, 0.0007, 0.6682], [0.5000, 0.3947, 0.8130], [0.5000, 0.5277, 0.0000], [0.0000, 0.4723, 0.5000], [0.0000, 0.6053, 0.6870], [0.0000, 0.6053, 0.3130], [0.5000, 0.0004, 0.0000], [0.0000, 0.9993, 0.1682], [0.5000, 0.3947, 0.1870], [0.0000, 0.9996, 0.5000], [0.5000, 0.0007, 0.3318]]
}

=====

[12]
{
  "formula": "Pm3As4Pd7",
  "functional": "PBE",
  "state": "optimized geometry",
  "final_energy_ev_per_cell": -82.069,
  "dos_ef_per_ev_cell": 7.5,
  "sg": "C2/m",
  "cell": [[4.0615, 0.0000, 1.0246], [1.4911, 7.6686, 2.6515], [0.0324, 0.0294, 8.4337]],
  "species": ["Pm", "Pm", "Pm", "As", "As", "As", "As", "Pd", "Pd", "Pd", "Pd", "Pd", "Pd", "Pd"],
  "frac_coords": [[0.3211, 0.1843, 0.1734], [0.6789, 0.8157, 0.8266], [0.0000, 0.5000, 0.5000], [0.6606, 0.4366, 0.2423], [0.3394, 0.5634, 0.7577], [0.8935, 0.8899, 0.3232], [0.1065, 0.1101, 0.6768], [0.3060, 0.8615, 0.5265], [0.4894, 0.2321, 0.7890], [0.8373, 0.4039, 0.9215], [0.6940, 0.1385, 0.4735], [0.1627, 0.5961, 0.0785], [0.0000, 0.0000, 0.0000], [0.5106, 0.7679, 0.2110]]
}

=====

[13]
{
  "formula": "PmAs4Pd12",
  "functional": "PBE",
  "state": "optimized geometry",
  "final_energy_ev_per_cell": -90.438,
  "dos_ef_per_ev_cell": 3.5,
  "sg": "Im-3",
  "cell": [[-6.7691, -0.0087, -3.0710], [2.1971, -7.0033, 1.1743], [-0.2209, 3.6460, 6.4738]],
  "species": ["Pm", "As", "As", "As", "As", "Pd", "Pd", "Pd", "Pd", "Pd", "Pd", "Pd", "Pd", "Pd", "Pd", "Pd", "Pd"],
  "frac_coords": [[0.0000, 0.0000, 0.0000], [0.0000, 0.5000, 0.0000], [0.5000, 0.0000, 0.0000], [0.5000, 0.5000, 0.5000], [0.0000, 0.0000, 0.5000], [0.8369, 0.3416, 0.1785], [0.3416, 0.5047, 0.1631], [0.8215, 0.1631, 0.6584], [0.3416, 0.1785, 0.8369], [0.1785, 0.8369, 0.3416], [0.6584, 0.4953, 0.8369], [0.5047, 0.1631, 0.3416], [0.4953, 0.8369, 0.6584], [0.6584, 0.8215, 0.1631], [0.8369, 0.6584, 0.4953], [0.1631, 0.3416, 0.5047], [0.1631, 0.6584, 0.8215]]
}

=====

[14]
{
  "formula": "PmAs2Pd6",
  "functional": "PBE",
  "state": "optimized geometry",
  "dos_ef_per_ev_cell": 6.7,
  "sg": "P4/mmm",
  "polymorph_energy_mev_per_atom": 0,
  "cell": [[4.2185, 0.0000, 0.0000], [0.0000, 4.2185, 0.0000], [0.0000, 0.0000, 8.8385]],
  "species": ["Pm", "As", "As", "Pd", "Pd", "Pd", "Pd", "Pd", "Pd"],
  "frac_coords": [[0.0000, 0.0000, 0.0000], [0.5000, 0.5000, 0.1422], [0.5000, 0.5000, 0.8578], [0.0000, 0.5000, 0.2870], [0.5000, 0.0000, 0.2870], [0.0000, 0.5000, 0.7130], [0.5000, 0.0000, 0.7130], [0.5000, 0.5000, 0.5000], [0.0000, 0.0000, 0.5000]]
}

=====

[15]
{
  "formula": "PmPrAsPd",
  "functional": "PBE",
  "state": "optimized geometry",
  "final_energy_ev_per_cell": -22.865,
  "dos_ef_per_ev_cell": 3.6,
  "sg": "F-43m",
  "cell": [[-3.1126, 4.1196, 0.1690], [-1.8012, 2.0580, -4.3827], [-4.9965, -0.4860, -1.2194]],
  "species": ["Pr", "As", "Pd", "Pm"],
  "frac_coords": [[0.7500, 0.7500, 0.7500], [0.5000, 0.5000, 0.5000], [0.0000, 0.0000, 0.0000], [0.2500, 0.2500, 0.2500]]
}

=====

[16]
{
  "formula": "PmPrAs2Pd5",
  "functional": "PBE",
  "state": "optimized geometry",
  "final_energy_ev_per_cell": -52.093,
  "dos_ef_per_ev_cell": 3.0,
  "sg": "P4/mmm",
  "cell": [[-2.9645, 0.0333, -3.0909], [-1.1565, -3.9835, 1.0664], [-6.3170, 3.4658, 6.0959]],
  "species": ["Pm", "Pr", "As", "As", "Pd", "Pd", "Pd", "Pd", "Pd"],
  "frac_coords": [[0.0000, 0.0000, 0.0000], [0.0000, 0.0000, 0.5000], [0.5000, 0.5000, 0.1380], [0.5000, 0.5000, 0.8620], [0.0000, 0.5000, 0.2748], [0.5000, 0.0000, 0.2748], [0.0000, 0.5000, 0.7252], [0.5000, 0.0000, 0.7252], [0.5000, 0.5000, 0.5000]]
}

=====

[17]
{
  "formula": "Pm2As4Pd3Pt",
  "functional": "PBE",
  "state": "optimized geometry",
  "final_energy_ev_per_cell": -58.225,
  "dos_ef_per_ev_cell": 3.7,
  "sg": "P-4m2",
  "cell": [[-0.2678, 3.1056, -3.1646], [2.8709, -2.2947, -2.4948], [-7.5389, -4.8988, -4.1696]],
  "species": ["Pm", "Pm", "As", "As", "As", "As", "Pd", "Pd", "Pd", "Pt"],
  "frac_coords": [[0.5000, 0.0000, 0.2498], [0.0000, 0.5000, 0.7502], [0.5000, 0.5000, 0.0000], [0.0000, 0.0000, 0.0000], [0.5000, 0.0000, 0.6307], [0.0000, 0.5000, 0.3693], [0.0000, 0.0000, 0.5000], [0.5000, 0.0000, 0.8778], [0.0000, 0.5000, 0.1222], [0.5000, 0.5000, 0.5000]]
}